# 1
SrAc3H | PBE | optimized geometry

Lattice parameters (Å, degrees): 5.664 5.664 5.664 90.00 90.00 90.00
Positions (direct):
Sr1 0.500 0.500 0.500
Ac1 0.000 0.500 0.000
Ac2 0.000 0.000 0.500
Ac3 0.500 0.000 0.000
H1 0.000 0.000 0.000

Computed properties:
- E_tot (eV/atom) = -3.57
- symmetry = Pm-3m

# 2
AlSi2Ni2 | PBE | optimized geometry

Lattice parameters (Å, degrees): 3.917 4.489 7.609 90.00 90.00 90.00
Positions (direct):
Al1 0.000 0.000 0.000
Al2 0.000 0.500 0.500
Si1 0.500 0.785 0.181
Si2 0.500 0.215 0.819
Si3 0.500 0.285 0.319
Si4 0.500 0.715 0.681
Ni1 0.000 0.016 0.328
Ni2 0.000 0.984 0.672
Ni3 0.000 0.516 0.172
Ni4 0.000 0.484 0.828

Computed properties:
- E_tot (eV/atom) = -5.49
- symmetry = Pbam

# 3
ZnReAs2 | PBE | optimized geometry

Lattice parameters (Å, degrees): 5.120 5.120 5.120 135.83 135.83 64.24
Positions (direct):
As1 0.000 0.000 0.000
As2 0.250 0.750 0.500
Re1 0.500 0.500 0.000
Zn1 0.750 0.250 0.500

Computed properties:
- formation energy from the elements (eV/f.u.) = 2.376
- symmetry = I-4m2

# 4
HIrS2 | PBE | optimized geometry

Lattice parameters (Å, degrees): 12.863 4.865 7.751 90.00 146.78 90.00
Positions (direct):
H1 0.578 0.005 0.570
H2 0.422 0.995 0.430
H3 0.922 0.505 0.930
H4 0.078 0.495 0.070
S1 0.825 0.072 0.632
S2 0.175 0.928 0.368
S3 0.675 0.572 0.868
S4 0.325 0.428 0.132
S5 0.173 0.767 0.832
S6 0.827 0.233 0.168
S7 0.327 0.267 0.668
S8 0.673 0.733 0.332
Ir1 0.201 0.048 0.112
Ir2 0.799 0.952 0.888
Ir3 0.299 0.548 0.388
Ir4 0.701 0.452 0.612

Computed properties:
- E_tot (eV/atom) = -5.06
- symmetry = P2_1/c

# 5
Li3Dy2PaTe6 | PBE | optimized geometry

Lattice parameters (Å, degrees): 7.461 7.461 7.544 99.49 99.49 120.00
Positions (direct):
Li1 0.167 0.833 0.500
Li2 0.833 0.167 0.500
Li3 0.500 0.500 0.500
Dy1 0.333 0.667 0.000
Dy2 0.667 0.333 0.000
Pa1 0.000 0.000 0.000
Te1 0.914 0.579 0.741
Te2 0.752 0.752 0.259
Te3 0.086 0.421 0.259
Te4 0.579 0.914 0.741
Te5 0.248 0.248 0.741
Te6 0.421 0.086 0.259

Computed properties:
- E_tot (eV/atom) = -4.73
- symmetry = C2/m

# 6
GaSbPb | PBE | optimized geometry

Lattice parameters (Å, degrees): 5.310 4.290 4.290 120.00 90.00 90.00
Positions (direct):
Pb1 0.675 0.667 0.333
Sb1 0.285 0.333 0.667
Ga1 0.040 0.000 0.000

Computed properties:
- E_tot (eV/atom) = -3.59
- symmetry = P3m1

# 7
Pa2CrGa | PBE | optimized geometry

Lattice parameters (Å, degrees): 3.074 3.074 8.496 90.00 90.00 90.00
Positions (direct):
Cr1 0.500 0.500 0.000
Pa1 0.000 0.000 0.776
Pa2 0.000 0.000 0.224
Ga1 0.500 0.500 0.500

Computed properties:
- formation energy from the elements (eV/f.u.) = 0.022
- symmetry = P4/mmm

# 8
NaRuS2Cl | PBE | optimized geometry

Lattice parameters (Å, degrees): 4.537 4.537 5.392 90.00 90.00 90.00
Positions (direct):
Ru1 0.000 0.000 0.000
S1 0.000 0.500 0.000
S2 0.500 0.000 0.000
Na1 0.500 0.500 0.500
Cl1 0.000 0.000 0.500

Computed properties:
- E_tot (eV/atom) = -4.48
- symmetry = P4/mmm

Which formula does entry 6 have?
GaSbPb